Computed, not measured: a PBEsol-optimized structure of FeTcPS2 at the SCAN level of DFT.

CIF file:
```
data_FeTcPS2
_chemical_formula_sum 'Fe1 Tc1 P1 S2'
_symmetry_space_group_name_H-M 'P 4/m m m'
_symmetry_Int_Tables_number 123
_symmetry_space_group_name_Hall '-P 4 2'
_cell_length_a 4.518
_cell_length_b 4.518
_cell_length_c 4.607
_cell_angle_alpha 90.00
_cell_angle_beta 90.00
_cell_angle_gamma 90.00
loop_
_atom_site_label
_atom_site_fract_x
_atom_site_fract_y
_atom_site_fract_z
Fe1 0.000 0.000 0.000
Tc1 0.500 0.500 0.500
P1 0.500 0.500 0.000
S1 0.000 0.500 0.500
```

## Properties
E_form (uncorrected): 0.71 eV/atom
size of the total moment: 3.28 μB per formula unit
DOS(E_F): 4.8 states/eV/f.u.
calculated density: 4396 kg/m³